ScMoSe after structural relaxation, computed with PBEsol.

Cell lengths 6.1002, 6.1002, 6.1002 Å; angles 90.00, 90.00, 90.00 degrees
With the nearest neighbours (Å) after each atom.
Space group F-43m (No. 216)
One atom of each set of equivalent atoms:
1 Sc 0.0000 0.0000 0.0000 [4 per cell]  4 Mo 2.64
2 Mo 0.2500 0.2500 0.2500 [4 per cell]  4 Se 2.64, 4 Sc 2.64
3 Se 0.0000 0.0000 0.5000 [4 per cell]  4 Mo 2.64

Summary:
Energy   -7.1307 eV per atom
ρ   6.43 g/cm³
Fermi-level density of states   16.00 states/eV/cell
Uncorrected formation energy   27 kJ/mol of atoms

=====

CuTc2 after structural relaxation, computed with PBEsol.

Cell lengths 2.6979, 13.7787, 4.2384 Å; angles 90.00, 90.00, 90.00 degrees
With the nearest neighbours (Å) after each atom.
Space group Cmcm (No. 63)
One atom of each set of equivalent atoms:
1 Cu 0.0000 0.1111 0.2500 [4 per cell]  10 Tc 2.59-2.71, 2 Cu 2.70
2 Tc 0.0000 0.2188 0.7500 [4 per cell]  4 Cu 2.59-2.71, 8 Tc 2.64-2.70
3 Tc 0.0000 0.4457 0.2500 [4 per cell]  6 Tc 2.59-2.70, 6 Cu 2.63-2.65

Summary:
Energy   -8.8534 eV per atom
Energy of formation from the pure elements   0.1022 eV/atom
ρ   10.94 g/cm³
Energy above the most stable polymorph in this dataset   0 meV/atom
Fermi-level density of states   7.55 states/eV/cell

=====

Zr4Zn3 after structural relaxation, computed with PBEsol.

Cell lengths 3.0316, 3.0316, 28.2146 Å; angles 90.00, 90.00, 90.00 degrees
With the nearest neighbours (Å) after each atom.
Space group I4/mmm (No. 139)
One atom of each set of equivalent atoms:
1 Zr 0.0000 0.0000 0.0699 [4 per cell]  4 Zn 2.91, 8 Zr 3.03-3.17
2 Zr 0.0000 0.0000 0.3472 [4 per cell]  4 Zn 2.93, 8 Zr 3.03-3.17
3 Zn 0.0000 0.0000 0.2237 [4 per cell]  4 Zn 2.61
4 Zn 0.0000 0.0000 0.5000 [2 per cell]  8 Zr 2.91, 4 Zn 3.03

Summary:
Energy   -6.0436 eV per atom
Energy of formation from the pure elements   -0.1714 eV/atom
ρ   7.19 g/cm³
Energy above the most stable polymorph in this dataset   81 meV/atom
Fermi-level density of states   12.39 states/eV/cell

=====

Zr2MoRh after structural relaxation, computed with PBEsol.

Cell lengths 6.4808, 6.4808, 6.4808 Å; angles 90.00, 90.00, 90.00 degrees
With the nearest neighbours (Å) after each atom.
Space group F-43m (No. 216)
One atom of each set of equivalent atoms:
1 Zr 0.0000 0.0000 0.0000 [4 per cell]  4 Zr 2.81, 4 Mo 2.81
2 Zr 0.2500 0.2500 0.2500 [4 per cell]  4 Zr 2.81, 4 Rh 2.81
3 Mo 0.2500 0.2500 0.7500 [4 per cell]  4 Zr 2.81, 4 Rh 2.81
4 Rh 0.0000 0.0000 0.5000 [4 per cell]  4 Mo 2.81, 4 Zr 2.81

Summary:
Energy   -9.6502 eV per atom
Energy of formation from the pure elements   -0.1287 eV/atom
ρ   9.30 g/cm³
Fermi-level density of states   10.16 states/eV/cell